Record 1
First-principles (PBE-GGA) data for crystalline Pu3Ni5Te12 at its relaxed geometry, as listed in Alexandria via LeMat-Bulk.

```
Pu3Ni5Te12
1.0
-8.154 8.154 8.154
8.154 -8.154 8.154
8.154 8.154 -8.154
Pu Ni Te
12 20 48
direct
0.125 0.250 0.375
0.125 0.375 0.750
0.250 0.375 0.125
0.250 0.875 0.625
0.375 0.125 0.250
0.375 0.750 0.125
0.625 0.250 0.875
0.625 0.875 0.750
0.750 0.125 0.375
0.750 0.625 0.875
0.875 0.625 0.250
0.875 0.750 0.625
0.000 0.000 0.000
0.000 0.000 0.500
0.000 0.500 0.000
0.000 0.500 0.500
0.125 0.750 0.875
0.125 0.875 0.250
0.250 0.125 0.875
0.250 0.625 0.375
0.375 0.250 0.625
0.375 0.625 0.750
0.500 0.000 0.000
0.500 0.000 0.500
0.500 0.500 0.000
0.500 0.500 0.500
0.625 0.375 0.250
0.625 0.750 0.375
0.750 0.375 0.625
0.750 0.875 0.125
0.875 0.125 0.750
0.875 0.250 0.125
0.028 0.204 0.116
0.028 0.323 0.912
0.088 0.616 0.412
0.088 0.704 0.677
0.088 0.884 0.412
0.088 0.972 0.677
0.116 0.028 0.204
0.116 0.588 0.912
0.177 0.204 0.588
0.177 0.472 0.588
0.204 0.116 0.028
0.204 0.588 0.177
0.296 0.323 0.912
0.296 0.472 0.384
0.323 0.912 0.028
0.323 0.912 0.296
0.384 0.296 0.472
0.384 0.588 0.912
0.412 0.088 0.616
0.412 0.088 0.884
0.412 0.823 0.528
0.412 0.823 0.796
0.472 0.384 0.296
0.472 0.588 0.177
0.528 0.412 0.823
0.528 0.616 0.704
0.588 0.177 0.204
0.588 0.177 0.472
0.588 0.912 0.116
0.588 0.912 0.384
0.616 0.412 0.088
0.616 0.704 0.528
0.677 0.088 0.704
0.677 0.088 0.972
0.704 0.528 0.616
0.704 0.677 0.088
0.796 0.412 0.823
0.796 0.884 0.972
0.823 0.528 0.412
0.823 0.796 0.412
0.884 0.412 0.088
0.884 0.972 0.796
0.912 0.028 0.323
0.912 0.116 0.588
0.912 0.296 0.323
0.912 0.384 0.588
0.972 0.677 0.088
0.972 0.796 0.884
```

Output
magnetization = 0.723 μB per atom
E = -5.87 eV/atom
symmetry = Ia-3d

Record 2
First-principles (PBE-GGA) data for crystalline ZnPtAu at its relaxed geometry, as listed in Alexandria via LeMat-Bulk.

```
ZnPtAu
1.0
4.804 0.000 0.000
0.000 2.928 0.000
-0.492 0.000 6.773
Zn Pt Au
2 2 2
direct
0.000 0.000 0.000
0.359 0.000 0.634
0.177 0.500 0.318
0.469 0.500 0.953
0.673 0.000 0.306
0.871 0.500 0.668
```

Output
polymorph energy (0 for the lowest one) = 0.001 eV per atom
magnetization = 0.000 μB per atom
E_form = -0.30 eV/atom
E = -3.84 eV/atom
symmetry = Pm

Record 3
First-principles (PBE-GGA) data for crystalline Pm5GeC2 at its relaxed geometry, as listed in Alexandria via LeMat-Bulk.

```
Pm5GeC2
1.0
-3.670 3.670 6.650
3.670 -3.670 6.650
3.670 3.670 -6.650
Pm Ge C
10 2 4
direct
0.000 0.000 0.000
0.024 0.524 0.804
0.220 0.024 0.500
0.280 0.780 0.804
0.476 0.280 0.500
0.500 0.500 0.000
0.524 0.720 0.500
0.720 0.220 0.196
0.780 0.976 0.500
0.976 0.476 0.196
0.250 0.250 0.000
0.750 0.750 0.000
0.168 0.332 0.500
0.332 0.832 0.164
0.668 0.168 0.836
0.832 0.668 0.500
```

Output
magnetization = 0.000 μB per atom
E_form = -0.16 eV/atom
E = -6.01 eV/atom
symmetry = I4/mcm

Record 4
First-principles (PBE-GGA) data for crystalline CuPdSe at its relaxed geometry, as listed in Alexandria via LeMat-Bulk.

```
CuPdSe
1.0
4.349 -1.916 0.000
4.349 1.916 0.000
-2.600 0.000 5.791
Cu Pd Se
2 2 2
direct
0.157 0.157 0.338
0.843 0.843 0.662
0.500 0.500 0.000
0.500 0.500 0.500
0.178 0.178 0.766
0.822 0.822 0.234
```

Output
polymorph energy (0 for the lowest one) = 0.063 eV per atom
magnetization = 0.000 μB per atom
E = -4.34 eV/atom
symmetry = C2/m

Record 5
First-principles (PBE-GGA) data for crystalline TcMoPt2 at its relaxed geometry, as listed in Alexandria via LeMat-Bulk.

```
TcMoPt2
1.0
3.842 0.000 0.000
0.000 3.842 0.000
0.000 0.000 4.114
Tc Mo Pt
1 1 2
direct
0.000 0.000 0.000
0.500 0.500 0.000
0.000 0.500 0.500
0.500 0.000 0.500
```

Output
polymorph energy (0 for the lowest one) = 0.036 eV per atom
magnetization = 0.000 μB per atom
E_form = -0.22 eV/atom
E = -8.54 eV/atom
symmetry = P4/mmm

Record 6
First-principles (PBE-GGA) data for crystalline La3InRu at its relaxed geometry, as listed in Alexandria via LeMat-Bulk.

```
La3InRu
1.0
5.418 0.000 0.000
-2.709 4.692 0.000
0.000 0.000 11.382
La In Ru
6 2 2
direct
0.000 0.000 0.250
0.000 0.000 0.750
0.333 0.667 0.068
0.333 0.667 0.432
0.667 0.333 0.568
0.667 0.333 0.932
0.333 0.667 0.750
0.667 0.333 0.250
0.000 0.000 0.000
0.000 0.000 0.500
```

Output
polymorph energy (0 for the lowest one) = 0.144 eV per atom
magnetization = 0.000 μB per atom
E_form = -0.27 eV/atom
E = -5.63 eV/atom
symmetry = P6_3/mmc